First-principles (PBE) data for a geometry-optimized ScPaMn4 structure, as listed in the Alexandria database.

Summary:
**DOS(E_F)**: 36.330 states/eV per cell
**Uncorrected energy**: -8.808 eV per atom
**Total magnetization**: 5.891 μB per formula unit
**E_form**: -5.53 kJ/mol of atoms

abc: 7.1134 7.1134 7.1134
angles: 90.00 90.00 90.00
Last column: nearest neighbours and their distance in Å.
Space group F-43m (No. 216)
Inequivalent atoms, fractional coordinates:
1 Sc 0.0000 0.0000 0.0000  12 Mn 2.95, 4 Pa 3.08
2 Pa 0.2500 0.2500 0.2500  12 Mn 2.95, 4 Sc 3.08
3 Mn 0.1252 0.1252 0.6252  6 Mn 2.51-2.52